A relaxed TlAgC3 crystal, computed with GGA-PBE.

Lattice parameters (Å, degrees): 4.278 4.278 4.278 90.00 90.00 90.00
Space group Pm-3m (No. 221)
One atom of each set of equivalent atoms:
Tl 0.000 0.000 0.000 (multiplicity 1)
Ag 0.500 0.500 0.500 (multiplicity 1)
C 0.000 0.500 0.500 (multiplicity 3)

Values from the calculation:
volume = 15.7 Å³ per atom
D(E_F) = 4.12 states/eV per cell
E = -17.48 eV per cell